DFT (PBE) results for a relaxed TlCr2CdCl8 crystal.

abc: 6.191 7.681 6.461
angles: 90.00 92.65 90.00
Fractional coordinates of all 12 atoms:
Tl1 0.000 0.000 0.000
Cr1 0.500 0.258 0.500
Cr2 0.500 0.742 0.500
Cd1 0.000 0.500 0.000
Cl1 0.272 0.275 0.193
Cl2 0.272 0.725 0.193
Cl3 0.285 0.500 0.645
Cl4 0.301 0.000 0.628
Cl5 0.699 0.000 0.372
Cl6 0.715 0.500 0.355
Cl7 0.728 0.275 0.807
Cl8 0.728 0.725 0.807

Calculated values
SG: P2/m, No. 10
Formation energy without anion corrections: -0.9401 eV per atom



DFT (PBE) results for a relaxed PtI3N crystal.

abc: 5.436 5.436 5.436
angles: 90.00 90.00 90.00
Fractional coordinates of all 5 atoms:
Pt1 0.000 0.000 0.000
I1 0.000 0.000 0.500
I2 0.000 0.500 0.000
I3 0.500 0.000 0.000
N1 0.500 0.500 0.500

Calculated values
SG: Pm-3m, No. 221
Formation energy without anion corrections: 1.5506 eV per atom



DFT (PBE) results for a relaxed HPtAu crystal.

abc: 2.995 3.442 7.229
angles: 90.00 90.00 90.00
Fractional coordinates of all 6 atoms:
H1 0.250 0.250 0.019
H2 0.750 0.750 0.981
Pt1 0.250 0.750 0.141
Pt2 0.750 0.250 0.859
Au1 0.250 0.750 0.619
Au2 0.750 0.250 0.381

Calculated values
SG: Pmmn, No. 59
Electronic total energy: -4.14 eV per atom



DFT (PBE) results for a relaxed Tb2Pm3Nd3 crystal.

abc: 8.806 8.806 6.079
angles: 110.07 110.07 38.75
Fractional coordinates of all 8 atoms:
Tb1 0.250 0.250 0.182
Tb2 0.750 0.750 0.818
Pm1 0.000 0.000 0.000
Pm2 0.134 0.134 0.579
Pm3 0.866 0.866 0.421
Nd1 0.366 0.366 0.810
Nd2 0.500 0.500 0.500
Nd3 0.634 0.634 0.190

Calculated values
SG: C2/m, No. 12
DFT formation energy: 0.076 eV per atom



DFT (PBE) results for a relaxed LiCrCuRh crystal.

abc: 4.182 4.182 4.182
angles: 60.00 60.00 60.00
Fractional coordinates of all 4 atoms:
Li1 0.000 0.000 0.000
Cr1 0.500 0.500 0.500
Cu1 0.750 0.750 0.750
Rh1 0.250 0.250 0.250

Calculated values
SG: F-43m, No. 216
DFT formation energy: 0.056 eV per atom



DFT (PBE) results for a relaxed FeTcW2 crystal.

abc: 4.715 4.715 2.770
angles: 90.00 90.00 108.01
Fractional coordinates of all 4 atoms:
Fe1 0.000 0.000 0.000
Tc1 0.500 0.500 0.000
W1 0.000 0.500 0.500
W2 0.500 0.000 0.500

Calculated values
SG: Cmmm, No. 65
DFT formation energy: 0.226 eV per atom



DFT (PBE) results for a relaxed AcPmDy crystal.

abc: 8.226 8.226 8.226
angles: 153.56 153.56 37.74
Fractional coordinates of all 3 atoms:
Ac1 0.000 0.000 0.000
Pm1 0.326 0.326 0.000
Dy1 0.670 0.670 0.000

Calculated values
SG: I4mm, No. 107
DFT formation energy: 0.049 eV per atom



DFT (PBE) results for a relaxed La2Ho7Er4 crystal.

abc: 6.057 6.057 13.318
angles: 90.00 90.00 120.00
Fractional coordinates of all 13 atoms:
La1 0.333 0.667 0.000
La2 0.667 0.333 0.000
Ho1 0.000 0.000 0.000
Ho2 0.000 0.353 0.782
Ho3 0.000 0.647 0.218
Ho4 0.353 0.000 0.782
Ho5 0.353 0.353 0.218
Ho6 0.647 0.000 0.218
Ho7 0.647 0.647 0.782
Er1 0.000 0.000 0.395
Er2 0.000 0.000 0.605
Er3 0.333 0.667 0.500
Er4 0.667 0.333 0.500

Calculated values
SG: P-31m, No. 162
DFT formation energy: 0.201 eV per atom